Entry w
A relaxed structure of Pm2SmEr5, computed with PBE.

Unit cell a=7.1149 b=14.2347 c=5.0241 alpha=90.00 beta=90.00 gamma=90.00
Space group Pbam (No. 55)
Inequivalent atoms, fractional coordinates:
Pm 0.2485 0.1257 0.0000 [4 per cell]
Sm 0.0000 0.5000 0.5000 [2 per cell]
Er 0.0000 0.0000 0.5000 [2 per cell]
Er 0.0013 0.7507 0.5000 [4 per cell]
Er 0.2490 0.3747 0.0000 [4 per cell]

Entry x
A relaxed structure of Pm2SmEr5, computed with PBE.

Unit cell a=16.2367 b=9.8535 c=6.4792 alpha=90.00 beta=98.00 gamma=90.00
Space group C2/c (No. 15)
Inequivalent atoms, fractional coordinates:
Pm 0.0775 0.2458 0.1149 [8 per cell]
Sm 0.2500 0.2500 0.0000 [4 per cell]
Er 0.0000 0.4425 0.7500 [4 per cell]
Er 0.0995 0.0901 0.6436 [8 per cell]
Er 0.1962 0.4112 0.5218 [8 per cell]

Going by the computed energies, the most stable comes first: entry w, entry x.

Entry w
A relaxed structure of PmSm5Er, computed with PBE.

Unit cell a=11.9220 b=6.8704 c=12.3321 alpha=90.00 beta=110.75 gamma=90.00
Space group C2/c (No. 15)
Inequivalent atoms, fractional coordinates:
Pm 0.2500 0.2500 0.0000 [4 per cell]
Sm 0.0000 0.0786 0.7500 [4 per cell]
Sm 0.0781 0.2347 0.5011 [8 per cell]
Sm 0.2190 0.1357 0.2484 [8 per cell]
Er 0.0000 0.4749 0.2500 [4 per cell]

Entry x
A relaxed structure of PmSm5Er, computed with PBE.

Unit cell a=8.0111 b=11.7525 c=6.2343 alpha=90.00 beta=90.00 gamma=90.00
Space group Imm2 (No. 44)
Inequivalent atoms, fractional coordinates:
Pm 0.0000 0.0000 0.0000 [2 per cell]
Sm 0.0000 0.2523 0.0073 [4 per cell]
Sm 0.0000 0.5000 0.7382 [2 per cell]
Sm 0.1796 0.0000 0.5022 [4 per cell]
Er 0.0000 0.5000 0.2653 [2 per cell]

Going by the computed energies, the most stable comes first: entry w, entry x.

Entry w
A relaxed structure of Pm3SmEr6, computed with PBE.

Unit cell a=6.0288 b=6.2616 c=8.9979 alpha=92.06 beta=92.92 gamma=96.85
Space group P-1 (No. 2)
Inequivalent atoms, fractional coordinates:
Pm 0.0000 0.0000 0.0000 [1 per cell]
Pm 0.3392 0.1826 0.7510 [2 per cell]
Sm 0.5000 0.5000 0.5000 [1 per cell]
Er 0.0839 0.5003 0.2005 [2 per cell]
Er 0.2168 0.0004 0.3804 [2 per cell]
Er 0.4542 0.7255 0.8953 [2 per cell]

Entry x
A relaxed structure of Pm3SmEr6, computed with PBE.

Unit cell a=11.0324 b=18.9201 c=6.2330 alpha=90.00 beta=90.00 gamma=90.00
Space group Cmc2_1 (No. 36)
Inequivalent atoms, fractional coordinates:
Pm 0.0000 0.1092 0.0000 [4 per cell]
Pm 0.1732 0.3894 0.3935 [8 per cell]
Sm 0.0000 0.2962 0.0745 [4 per cell]
Er 0.0000 0.2199 0.5743 [4 per cell]
Er 0.0000 0.4555 0.8350 [4 per cell]
Er 0.1648 0.0474 0.4694 [8 per cell]
Er 0.2479 0.2108 0.3020 [8 per cell]

Going by the computed energies, the most stable comes first: entry x, entry w.

Entry w
A relaxed structure of Pm3Sm3Er, computed with PBE.

Unit cell a=8.7461 b=8.7461 c=22.0629 alpha=90.00 beta=90.00 gamma=120.00
Space group R-3 (No. 148, hexagonal axes)
Inequivalent atoms, fractional coordinates:
Pm 0.0039 0.2389 0.0584 [18 per cell]
Sm 0.0505 0.4487 0.8812 [18 per cell]
Er 0.0000 0.0000 0.3457 [6 per cell]

Entry x
A relaxed structure of Pm3Sm3Er, computed with PBE.

Unit cell a=9.7052 b=9.7052 c=5.8117 alpha=90.00 beta=90.00 gamma=120.00
Space group P6_3/m (No. 176)
Inequivalent atoms, fractional coordinates:
Pm 0.0470 0.8072 0.2500 [6 per cell]
Sm 0.0948 0.6182 0.7500 [6 per cell]
Er 0.3333 0.6667 0.2500 [2 per cell]

Going by the computed energies, the most stable comes first: entry x, entry w.

Entry w
A relaxed structure of PmSmEr2, computed with PBE.

Unit cell a=3.5915 b=3.5915 c=34.6931 alpha=90.00 beta=90.00 gamma=120.00
Space group R3m (No. 160, hexagonal axes)
Inequivalent atoms, fractional coordinates:
Pm 0.0000 0.0000 0.0000 [3 per cell]
Sm 0.0000 0.0000 0.8341 [3 per cell]
Er 0.0000 0.0000 0.2502 [3 per cell]
Er 0.0000 0.0000 0.4178 [3 per cell]

Entry x
A relaxed structure of PmSmEr2, computed with PBE.

Unit cell a=6.9533 b=6.9320 c=11.1200 alpha=90.00 beta=90.02 gamma=90.00
Space group P2/c (No. 13)
Inequivalent atoms, fractional coordinates:
Pm 0.1252 0.1257 0.3862 [4 per cell]
Sm 0.3752 0.3765 0.6139 [4 per cell]
Er 0.1243 0.3746 0.8879 [4 per cell]
Er 0.3758 0.1236 0.1120 [4 per cell]

Entry y
A relaxed structure of PmSmEr2, computed with PBE.

Unit cell a=8.4849 b=3.6319 c=8.4968 alpha=90.00 beta=95.31 gamma=90.00
Space group P2_1/m (No. 11)
Inequivalent atoms, fractional coordinates:
Pm 0.1664 0.2500 0.0847 [2 per cell]
Sm 0.3341 0.7500 0.4163 [2 per cell]
Er 0.0838 0.2500 0.6662 [2 per cell]
Er 0.4167 0.7500 0.8328 [2 per cell]

Entry z
A relaxed structure of PmSmEr2, computed with PBE.

Unit cell a=8.0497 b=8.0497 c=8.0497 alpha=90.00 beta=90.00 gamma=90.00
Space group Fm-3m (No. 225)
Inequivalent atoms, fractional coordinates:
Pm 0.0000 0.0000 0.0000 [4 per cell]
Sm 0.0000 0.0000 0.5000 [4 per cell]
Er 0.2500 0.2500 0.2500 [8 per cell]

Going by the computed energies, the most stable comes first: entry w, entry y, entry z, entry x.

Entry w
A relaxed structure of Pm4Sm8Er3, computed with PBE.

Unit cell a=13.5748 b=12.8544 c=6.8334 alpha=90.00 beta=120.06 gamma=90.00
Space group C2/m (No. 12)
Inequivalent atoms, fractional coordinates:
Pm 0.0000 0.0000 0.0000 [2 per cell]
Pm 0.0000 0.0000 0.5000 [2 per cell]
Pm 0.2500 0.2500 0.0000 [4 per cell]
Sm 0.0000 0.2541 0.0000 [4 per cell]
Sm 0.0000 0.3560 0.5000 [4 per cell]
Sm 0.2266 0.5000 0.9459 [4 per cell]
Sm 0.2383 0.5000 0.4815 [4 per cell]
Er 0.0000 0.5000 0.0000 [2 per cell]
Er 0.2500 0.2500 0.5000 [4 per cell]

Entry x
A relaxed structure of Pm4Sm8Er3, computed with PBE.

Unit cell a=7.0143 b=7.0143 c=35.8495 alpha=90.00 beta=90.00 gamma=120.00
Space group R-3m (No. 166, hexagonal axes)
Inequivalent atoms, fractional coordinates:
Pm 0.0000 0.0000 0.0000 [3 per cell]
Pm 0.0000 0.0000 0.1637 [6 per cell]
Pm 0.0000 0.0000 0.5000 [3 per cell]
Sm 0.0000 0.0000 0.2549 [6 per cell]
Sm 0.0017 0.5008 0.2514 [18 per cell]
Er 0.0000 0.5000 0.0000 [9 per cell]

Going by the computed energies, the most stable comes first: entry x, entry w.

Entry w
A relaxed structure of Pm3Sm7Er2, computed with PBE.

Unit cell a=6.5836 b=6.5836 c=33.9359 alpha=90.00 beta=90.00 gamma=120.00
Space group R-3m (No. 166, hexagonal axes)
Inequivalent atoms, fractional coordinates:
Pm 0.0000 0.0000 0.0000 [3 per cell]
Pm 0.0000 0.0000 0.1535 [6 per cell]
Sm 0.0000 0.0000 0.5000 [3 per cell]
Sm 0.0035 0.5018 0.9163 [18 per cell]
Er 0.0000 0.0000 0.3337 [6 per cell]

Entry x
A relaxed structure of Pm3Sm7Er2, computed with PBE.

Unit cell a=5.9059 b=3.6024 c=19.0416 alpha=90.00 beta=93.10 gamma=90.00
Space group P2/m (No. 10)
Inequivalent atoms, fractional coordinates:
Pm 0.0000 0.0000 0.0000 [1 per cell]
Pm 0.2832 0.5000 0.6336 [2 per cell]
Sm 0.1849 0.5000 0.1451 [2 per cell]
Sm 0.2427 0.0000 0.4642 [2 per cell]
Sm 0.3134 0.0000 0.8194 [2 per cell]
Sm 0.5000 0.5000 0.0000 [1 per cell]
Er 0.2076 0.0000 0.2951 [2 per cell]

Going by the computed energies, the most stable comes first: entry x, entry w.

Entry w
A relaxed structure of Pm4Sm5Er2, computed with PBE.

Unit cell a=3.5183 b=9.3417 c=23.2455 alpha=90.00 beta=90.00 gamma=90.00
Space group Immm (No. 71)
Inequivalent atoms, fractional coordinates:
Pm 0.0000 0.0000 0.0964 [4 per cell]
Pm 0.0000 0.2992 0.5000 [4 per cell]
Sm 0.0000 0.2038 0.3499 [8 per cell]
Sm 0.0000 0.5000 0.0000 [2 per cell]
Er 0.0000 0.0000 0.2301 [4 per cell]

Entry x
A relaxed structure of Pm4Sm5Er2, computed with PBE.

Unit cell a=17.7636 b=3.5648 c=11.7069 alpha=90.00 beta=93.97 gamma=90.00
Space group C2/m (No. 12)
Inequivalent atoms, fractional coordinates:
Pm 0.0377 0.0000 0.2615 [4 per cell]
Pm 0.1411 0.5000 0.7957 [4 per cell]
Sm 0.0000 0.5000 0.0000 [2 per cell]
Sm 0.0970 0.0000 0.5373 [4 per cell]
Sm 0.1779 0.0000 0.0723 [4 per cell]
Er 0.2155 0.5000 0.3560 [4 per cell]

Going by the computed energies, the most stable comes first: entry x, entry w.

Entry w
A relaxed structure of Pm2Sm5Er2, computed with PBE.

Unit cell a=3.5987 b=6.2415 c=13.9653 alpha=85.78 beta=82.60 gamma=73.38
Space group P-1 (No. 2)
Inequivalent atoms, fractional coordinates:
Pm 0.1680 0.3317 0.3319 [2 per cell]
Sm 0.2792 0.5528 0.8890 [2 per cell]
Sm 0.3885 0.7779 0.4433 [2 per cell]
Sm 0.5000 0.0000 0.0000 [1 per cell]
Er 0.0558 0.1114 0.7784 [2 per cell]

Entry x
A relaxed structure of Pm2Sm5Er2, computed with PBE.

Unit cell a=14.9389 b=11.8860 c=6.8113 alpha=90.00 beta=90.00 gamma=90.00
Space group Ima2 (No. 46)
Inequivalent atoms, fractional coordinates:
Pm 0.1266 0.0027 0.0000 [8 per cell]
Sm 0.0522 0.7479 0.6504 [8 per cell]
Sm 0.1433 0.2348 0.3226 [8 per cell]
Sm 0.2500 0.7438 0.3497 [4 per cell]
Er 0.0000 0.0000 0.4714 [4 per cell]
Er 0.2500 0.0093 0.5440 [4 per cell]

Going by the computed energies, the most stable comes first: entry w, entry x.